Model 1:
Compound: Pm2MgHg3
Source: Alexandria via LeMat-Bulk
Functional: PBE
Structure: optimized geometry

**Calculated volume**: 25.30 Å³/atom

a b c (Å): 6.1058 6.1058 9.3740
angles (deg): 102.15 102.15 110.71
Closest atoms and distances in Å follow each position.
Atoms (fractional coordinates):
Hg 0.1725 0.6571 0.8295  1 Mg 2.82, 2 Hg 2.97-2.98
Hg 0.1702 0.1702 0.3404  1 Mg 2.83, 2 Hg 2.98
Hg 0.3429 0.8275 0.1705  1 Mg 2.82, 2 Hg 2.97-2.98
Hg 0.8298 0.8298 0.6596  1 Mg 2.83, 2 Hg 2.98
Hg 0.6571 0.1725 0.8295  1 Mg 2.82, 2 Hg 2.97-2.98
Hg 0.8275 0.3429 0.1705  1 Mg 2.82, 2 Hg 2.97-2.98
Mg 0.6672 0.6672 0.3344  3 Hg 2.82-2.83
Mg 0.3328 0.3328 0.6656  3 Hg 2.82-2.83
Pm 0.2500 0.7500 0.5000  8 Hg 3.35, 4 Mg 3.38, 2 Pm 3.47
Pm 0.7580 0.7580 0.0000  2 Pm 3.36-3.58, 10 Hg 3.37-3.42, 2 Mg 3.42
Pm 0.2420 0.2420 0.0000  2 Pm 3.36-3.58, 10 Hg 3.37-3.42, 2 Mg 3.42
Pm 0.7500 0.2500 0.5000  8 Hg 3.35, 4 Mg 3.38, 2 Pm 3.47

Model 2:
Compound: Pm2MgHg3
Source: Alexandria via LeMat-Bulk
Functional: PBE
Structure: optimized geometry

**Calculated volume**: 25.57 Å³/atom

a b c (Å): 5.1886 5.1886 13.1605
angles (deg): 90.00 90.00 120.00
Closest atoms and distances in Å follow each position.
Atoms (fractional coordinates):
Mg 0.6667 0.3333 0.3388  8 Hg 3.17-3.28
Mg 0.3333 0.6667 0.6612  8 Hg 3.17-3.28
Hg 0.3333 0.6667 0.4206  4 Pm 3.12-3.17, 4 Mg 3.17-3.18
Hg 0.3333 0.6667 0.9106  7 Pm 3.22-3.59, 1 Mg 3.28
Hg 0.6667 0.3333 0.5794  4 Pm 3.12-3.17, 4 Mg 3.17-3.18
Hg 0.0000 0.0000 0.2567  5 Pm 3.15-3.38, 3 Mg 3.18
Hg 0.6667 0.3333 0.0894  7 Pm 3.22-3.59, 1 Mg 3.28
Hg 0.0000 0.0000 0.7433  5 Pm 3.15-3.38, 3 Mg 3.18
Pm 0.0000 0.0000 0.5000  8 Hg 3.17-3.20
Pm 0.6667 0.3333 0.8168  7 Hg 3.12-3.24
Pm 0.0000 0.0000 0.0000  8 Hg 3.22-3.38
Pm 0.3333 0.6667 0.1832  7 Hg 3.12-3.24

It is model 2 that is most stable; the runner-up trails by 68 meV per atom.

Model 1:
Compound: Pm3Mg2Hg3
Source: Alexandria via LeMat-Bulk
Functional: PBE
Structure: optimized geometry

**Calculated volume**: 26.79 Å³/atom

a b c (Å): 3.8445 5.3350 10.9539
angles (deg): 104.09 100.11 90.00
Closest atoms and distances in Å follow each position.
Atoms (fractional coordinates):
Hg 0.8699 0.8699 0.7398  2 Mg 2.96, 4 Pm 3.29
Hg 0.1301 0.1301 0.2602  2 Mg 2.96, 4 Pm 3.29
Hg 0.0000 0.5000 0.0000  8 Pm 3.26-3.29
Pm 0.5000 0.0000 0.0000  8 Hg 3.29-3.33
Pm 0.3740 0.3740 0.7480  6 Hg 3.26-3.29, 4 Mg 3.43-3.55
Pm 0.6260 0.6260 0.2520  6 Hg 3.26-3.29, 4 Mg 3.43-3.55
Mg 0.2619 0.7619 0.5238  2 Hg 2.96
Mg 0.7381 0.2381 0.4762  2 Hg 2.96

Model 2:
Compound: Pm3Mg2Hg3
Source: Alexandria via LeMat-Bulk
Functional: PBE
Structure: optimized geometry

**Calculated volume**: 26.65 Å³/atom

a b c (Å): 6.0075 9.0534 9.0534
angles (deg): 120.00 90.00 90.00
Closest atoms and distances in Å follow each position.
Atoms (fractional coordinates):
Pm 0.2500 0.0000 0.7397  5 Hg 3.13-3.24
Pm 0.2500 0.2603 0.2603  5 Hg 3.13-3.24
Pm 0.2500 0.7397 0.0000  5 Hg 3.13-3.24
Pm 0.7500 0.7397 0.7397  5 Hg 3.13-3.24
Pm 0.7500 0.2603 0.0000  5 Hg 3.13-3.24
Pm 0.7500 0.0000 0.2603  5 Hg 3.13-3.24
Hg 0.7500 0.0000 0.6065  5 Pm 3.13-3.24, 4 Mg 3.16
Hg 0.2500 0.6065 0.6065  5 Pm 3.13-3.24, 4 Mg 3.16
Hg 0.7500 0.3935 0.3935  5 Pm 3.13-3.24, 4 Mg 3.16
Hg 0.2500 0.3935 0.0000  5 Pm 3.13-3.24, 4 Mg 3.16
Hg 0.7500 0.6065 0.0000  5 Pm 3.13-3.24, 4 Mg 3.16
Hg 0.2500 0.0000 0.3935  5 Pm 3.13-3.24, 4 Mg 3.16
Mg 0.5000 0.6667 0.3333  2 Mg 3.00, 6 Hg 3.16
Mg 0.5000 0.3333 0.6667  2 Mg 3.00, 6 Hg 3.16
Mg 0.0000 0.3333 0.6667  2 Mg 3.00, 6 Hg 3.16
Mg 0.0000 0.6667 0.3333  2 Mg 3.00, 6 Hg 3.16

It is model 2 that is most stable; the runner-up trails by 51 meV per atom.

Model 1:
Compound: PmPrMgHg
Source: Alexandria via LeMat-Bulk
Functional: PBE
Structure: optimized geometry

**Calculated volume**: 28.64 Å³/atom

a b c (Å): 5.4513 5.4513 5.4513
angles (deg): 60.00 60.00 60.00
Closest atoms and distances in Å follow each position.
Atoms (fractional coordinates):
Pm 0.2500 0.2500 0.2500  4 Hg 3.34, 4 Mg 3.34
Hg 0.5000 0.5000 0.5000  4 Pr 3.34, 4 Pm 3.34
Pr 0.7500 0.7500 0.7500  4 Hg 3.34, 4 Mg 3.34
Mg 0.0000 0.0000 0.0000  4 Pm 3.34, 4 Pr 3.34

Model 2:
Compound: PmPrMgHg
Source: Alexandria via LeMat-Bulk
Functional: PBE
Structure: optimized geometry

**Calculated volume**: 28.72 Å³/atom

a b c (Å): 3.8710 3.8710 7.6666
angles (deg): 90.00 90.00 90.00
Closest atoms and distances in Å follow each position.
Atoms (fractional coordinates):
Hg 0.5000 0.5000 0.1156  4 Pm 3.29, 4 Pr 3.38
Mg 0.5000 0.5000 0.6012  4 Pm 3.33, 4 Pr 3.37, 1 Hg 3.72
Pr 0.0000 0.0000 0.8570  4 Mg 3.37, 4 Hg 3.38
Pm 0.0000 0.0000 0.3541  4 Hg 3.29, 4 Mg 3.33

It is model 2 that is most stable; the runner-up trails by 21 meV per atom.

Model 1:
Compound: PmSmMgHg
Source: Alexandria via LeMat-Bulk
Functional: PBE
Structure: optimized geometry

**Calculated volume**: 27.91 Å³/atom

a b c (Å): 5.4048 5.4048 5.4048
angles (deg): 60.00 60.00 60.00
Closest atoms and distances in Å follow each position.
Atoms (fractional coordinates):
Sm 0.0000 0.0000 0.0000  4 Mg 3.31, 4 Hg 3.31
Mg 0.2500 0.2500 0.2500  4 Pm 3.31, 4 Sm 3.31
Pm 0.5000 0.5000 0.5000  4 Hg 3.31, 4 Mg 3.31
Hg 0.7500 0.7500 0.7500  4 Sm 3.31, 4 Pm 3.31

Model 2:
Compound: PmSmMgHg
Source: Alexandria via LeMat-Bulk
Functional: PBE
Structure: optimized geometry

**Calculated volume**: 27.93 Å³/atom

a b c (Å): 3.8428 3.8428 7.5650
angles (deg): 90.00 90.00 90.00
Closest atoms and distances in Å follow each position.
Atoms (fractional coordinates):
Sm 0.5000 0.5000 0.1090  4 Hg 3.29, 4 Mg 3.31
Mg 0.0000 0.0000 0.8591  4 Sm 3.31, 4 Pm 3.33
Pm 0.5000 0.5000 0.6056  4 Hg 3.32, 4 Mg 3.33
Hg 0.0000 0.0000 0.3542  4 Sm 3.29, 4 Pm 3.32

It is model 2 that is most stable; the runner-up trails by 22 meV per atom.

Model 1:
Compound: PmTmMgHg
Source: Alexandria via LeMat-Bulk
Functional: PBE
Structure: optimized geometry

**Calculated volume**: 26.78 Å³/atom

a b c (Å): 3.7606 3.7606 7.5741
angles (deg): 90.00 90.00 90.00
Closest atoms and distances in Å follow each position.
Atoms (fractional coordinates):
Pm 0.0000 0.0000 0.8580  4 Mg 3.33, 4 Hg 3.35, 1 Tm 3.73
Mg 0.5000 0.5000 0.5926  4 Tm 3.23, 4 Pm 3.33, 1 Hg 3.52
Hg 0.5000 0.5000 0.1274  4 Tm 3.15, 4 Pm 3.35, 1 Mg 3.52
Tm 0.0000 0.0000 0.3500  4 Hg 3.15, 4 Mg 3.23

Model 2:
Compound: PmTmMgHg
Source: Alexandria via LeMat-Bulk
Functional: PBE
Structure: optimized geometry

**Calculated volume**: 26.75 Å³/atom

a b c (Å): 5.3288 5.3288 5.3288
angles (deg): 60.00 60.00 60.00
Closest atoms and distances in Å follow each position.
Atoms (fractional coordinates):
Pm 0.5000 0.5000 0.5000  4 Hg 3.26, 4 Mg 3.26
Hg 0.7500 0.7500 0.7500  4 Tm 3.26, 4 Pm 3.26
Mg 0.2500 0.2500 0.2500  4 Tm 3.26, 4 Pm 3.26
Tm 0.0000 0.0000 0.0000  4 Hg 3.26, 4 Mg 3.26

It is model 1 that is most stable; the runner-up trails by 18 meV per atom.

Model 1:
Compound: PmYMgHg
Source: Alexandria via LeMat-Bulk
Functional: PBE
Structure: optimized geometry

**Calculated volume**: 27.31 Å³/atom

a b c (Å): 3.8076 3.8076 7.5352
angles (deg): 90.00 90.00 90.00
Closest atoms and distances in Å follow each position.
Atoms (fractional coordinates):
Y 0.0000 0.0000 0.3530  4 Hg 3.22, 4 Mg 3.27
Hg 0.5000 0.5000 0.1178  4 Y 3.22, 4 Pm 3.33
Mg 0.5000 0.5000 0.5984  4 Y 3.27, 4 Pm 3.33, 1 Hg 3.62
Pm 0.0000 0.0000 0.8588  4 Hg 3.33, 4 Mg 3.33, 1 Y 3.72

Model 2:
Compound: PmYMgHg
Source: Alexandria via LeMat-Bulk
Functional: PBE
Structure: optimized geometry

**Calculated volume**: 27.32 Å³/atom

a b c (Å): 5.3662 5.3662 5.3662
angles (deg): 60.00 60.00 60.00
Closest atoms and distances in Å follow each position.
Atoms (fractional coordinates):
Pm 0.2500 0.2500 0.2500  4 Hg 3.29, 4 Mg 3.29
Hg 0.0000 0.0000 0.0000  4 Y 3.29, 4 Pm 3.29
Y 0.7500 0.7500 0.7500  4 Mg 3.29, 4 Hg 3.29
Mg 0.5000 0.5000 0.5000  4 Pm 3.29, 4 Y 3.29

It is model 1 that is most stable; the runner-up trails by 16 meV per atom.